No. 1
An optimized crystal structure of BeAs5, computed with PBE-GGA.

The value obtained for the total energy is -25.1 eV/f.u. Its total magnetic moment is 0.00 μB/f.u. The calculation puts the density of states at the Fermi level at 6.1 states/eV/cell. For the calculated volume, the calculation gives 229.8 Å³/cell.

The structure belongs to space group Cmmm (No. 65); the cell edges are 3.457, 17.533 and 3.791 Å and the angles 90.00°, 90.00° and 90.00°. The distinct sites, in fractional coordinates, are Be at (0.000, 0.000, 0.000), As at (0.000, 0.199, 0.500), As at (0.000, 0.392, 0.000) and As at (0.000, 0.500, 0.500).


No. 2
An optimized crystal structure of MgTlGaTe3, computed with PBE-GGA.

The value obtained for the total energy is -19.2 eV/f.u. Its total magnetic moment is 0.00 μB/f.u. The calculation puts the uncorrected formation energy at -0.468 eV per atom. The calculation puts the density of states at the Fermi level at 1.0 states/eV/cell. For the calculated volume, the calculation gives 402.5 Å³/cell.

The structure belongs to space group P2_1/m (No. 11); the cell edges are 8.979, 4.261 and 10.882 Å and the angles 90.00°, 104.85° and 90.00°. The distinct sites, in fractional coordinates, are Mg at (0.155, 0.250, 0.093), Tl at (0.269, 0.750, 0.756), Ga at (0.414, 0.750, 0.372), Te at (0.027, 0.250, 0.826), Te at (0.293, 0.250, 0.470) and Te at (0.399, 0.750, 0.131).


No. 3
An optimized crystal structure of Y2ZrReHg, computed with PBE-GGA.

The value obtained for the total energy is -25.2 eV/f.u. Its total magnetic moment is 0.00 μB/f.u. The calculation puts the density of states at the Fermi level at 7.8 states/eV/cell. For the calculated volume, the calculation gives 144.5 Å³/cell.

The structure belongs to space group P4/mmm (No. 123); the cell edges are 5.297, 5.297 and 5.152 Å and the angles 90.00°, 90.00° and 90.00°. The distinct sites, in fractional coordinates, are Y at (0.000, 0.500, 0.000), Zr at (0.000, 0.000, 0.000), Re at (0.500, 0.500, 0.500) and Hg at (0.000, 0.000, 0.500).


No. 4
An optimized crystal structure of Li6PrMg2, computed with PBE-GGA.

The value obtained for the total energy is -19.2 eV/f.u. Its total magnetic moment is 0.00 μB/f.u. The calculation puts the density of states at the Fermi level at 6.3 states/eV/cell. For the calculated volume, the calculation gives 208.5 Å³/cell.

The structure belongs to space group P4/mmm (No. 123); the cell edges are 4.231, 4.231 and 11.648 Å and the angles 90.00°, 90.00° and 90.00°. The distinct sites, in fractional coordinates, are Li at (0.000, 0.000, 0.000), Li at (0.000, 0.500, 0.193), Li at (0.500, 0.500, 0.000), Pr at (0.000, 0.000, 0.500) and Mg at (0.500, 0.500, 0.366).


No. 5
An optimized crystal structure of RbTiCdBi2, computed with PBE-GGA.

The value obtained for the total energy is -18.0 eV/f.u. Its total magnetic moment is 0.00 μB/f.u. The calculation puts the density of states at the Fermi level at 3.5 states/eV/cell. For the calculated volume, the calculation gives 170.2 Å³/cell.

The structure belongs to space group P4/mmm (No. 123); the cell edges are 5.466, 5.466 and 5.698 Å and the angles 90.00°, 90.00° and 90.00°. The distinct sites, in fractional coordinates, are Rb at (0.000, 0.000, 0.000), Ti at (0.500, 0.500, 0.500), Cd at (0.500, 0.500, 0.000) and Bi at (0.000, 0.500, 0.500).


No. 6
An optimized crystal structure of TcHgI3, computed with PBE-GGA.

The value obtained for the total energy is -10.7 eV/f.u. Its total magnetic moment is 5.61 μB/f.u. The calculation puts the uncorrected formation energy at 0.931 eV per atom. The calculation puts the density of states at the Fermi level at 8.1 states/eV/cell. For the calculated volume, the calculation gives 206.1 Å³/cell.

The structure belongs to space group Pm-3m (No. 221); the cell edges are 5.907, 5.907 and 5.907 Å and the angles 90.00°, 90.00° and 90.00°. The distinct sites, in fractional coordinates, are Tc at (0.000, 0.000, 0.000), Hg at (0.500, 0.500, 0.500) and I at (0.000, 0.500, 0.500).


No. 7
An optimized crystal structure of TbSm2Tm7, computed with PBE-GGA.

The value obtained for the total energy is -43.7 eV/f.u. Its total magnetic moment is 0.00 μB/f.u. The calculation puts the density of states at the Fermi level at 29.2 states/eV/cell. For the calculated volume, the calculation gives 637.8 Å³/cell.

The structure belongs to space group Cmmm (No. 65); the cell edges are 6.402, 28.510 and 3.494 Å and the angles 90.00°, 90.00° and 90.00°. The distinct sites, in fractional coordinates, are Tb at (0.000, 0.000, 0.000), Sm at (0.000, 0.291, 0.500), Tm at (0.000, 0.184, 0.000), Tm at (0.000, 0.500, 0.500) and Tm at (0.247, 0.098, 0.500).


No. 8
An optimized crystal structure of Y2ZrAg, computed with PBE-GGA.

The value obtained for the total energy is -24.2 eV/f.u. Its total magnetic moment is 0.00 μB/f.u. The calculation puts the density of states at the Fermi level at 5.2 states/eV/cell. For the calculated volume, the calculation gives 104.8 Å³/cell.

The structure belongs to space group Pm (No. 6); the cell edges are 3.516, 4.960 and 6.260 Å and the angles 90.00°, 106.31° and 90.00°. The distinct sites, in fractional coordinates, are Y at (0.000, 0.000, 0.000), Y at (0.325, 0.500, 0.648), Zr at (0.595, 0.500, 0.191) and Ag at (0.732, 0.000, 0.461).


No. 9
An optimized crystal structure of MgCr2H, computed with PBE-GGA.

The value obtained for the total energy is -22.4 eV/f.u. Its total magnetic moment is 0.00 μB/f.u. The calculation puts the density of states at the Fermi level at 21.6 states/eV/cell. For the calculated volume, the calculation gives 197.9 Å³/cell.

The structure belongs to space group I4_1/amd (No. 141, origin choice 2); the cell edges are 5.201, 5.201 and 7.316 Å and the angles 90.00°, 90.00° and 90.00°. The distinct sites, in fractional coordinates, are Mg at (0.000, 0.250, 0.375), Cr at (0.000, 0.000, 0.000) and H at (0.000, 0.250, 0.875).


No. 10
An optimized crystal structure of La2AgIrPd, computed with PBE-GGA.

The value obtained for the total energy is -29.8 eV/f.u. Its total magnetic moment is 0.00 μB/f.u. The calculation puts the density of states at the Fermi level at 2.6 states/eV/cell. For the calculated volume, the calculation gives 244.8 Å³/cell.

The structure belongs to space group P4/nmm (No. 129, origin choice 2); the cell edges are 4.192, 4.192 and 13.935 Å and the angles 90.00°, 90.00° and 90.00°. The distinct sites, in fractional coordinates, are La at (0.250, 0.250, 0.107), La at (0.250, 0.250, 0.693), Ag at (0.250, 0.750, 0.500), Ir at (0.250, 0.250, 0.890) and Pd at (0.250, 0.250, 0.354).


No. 11
An optimized crystal structure of ThAlIn, computed with PBE-GGA.

The value obtained for the total energy is -13.6 eV/f.u. Its total magnetic moment is 0.00 μB/f.u. The calculation puts the density of states at the Fermi level at 23.4 states/eV/cell. For the calculated volume, the calculation gives 673.7 Å³/cell.

The structure belongs to space group Fmmm (No. 69); the cell edges are 5.049, 8.246 and 16.183 Å and the angles 90.00°, 90.00° and 90.00°. The distinct sites, in fractional coordinates, are Th at (0.000, 0.000, 0.125), Al at (0.250, 0.250, 0.250) and In at (0.000, 0.170, 0.500).


No. 12
An optimized crystal structure of CrTe, computed with PBE-GGA.

The value obtained for the total energy is -10.9 eV/f.u. Its total magnetic moment is 1.06 μB/f.u. The calculation puts the uncorrected formation energy at 0.943 eV per atom. The calculation puts the density of states at the Fermi level at 9.9 states/eV/cell. For the calculated volume, the calculation gives 180.1 Å³/cell.

The structure belongs to space group P6_3/mmc (No. 194); the cell edges are 5.2355, 5.2355 and 7.5886 Å and the angles 90.00°, 90.00° and 120.00°. The distinct sites, in fractional coordinates, are Cr at (0.3333, 0.6667, 0.1263), Te at (0.0000, 0.0000, 0.2500) and Te at (0.3333, 0.6667, 0.7500).


No. 13
An optimized crystal structure of SmTh3Hg7, computed with PBE-GGA.

The value obtained for the total energy is -31.0 eV/f.u. Its total magnetic moment is 0.00 μB/f.u. The calculation puts the density of states at the Fermi level at 30.6 states/eV/cell. For the calculated volume, the calculation gives 1202.6 Å³/cell.

The structure belongs to space group Cmcm (No. 63); the cell edges are 3.521, 22.139 and 15.427 Å and the angles 90.00°, 90.00° and 90.00°. The distinct sites, in fractional coordinates, are Sm at (0.000, 0.026, 0.250), Th at (0.000, 0.115, 0.532), Th at (0.000, 0.244, 0.250), Hg at (0.000, 0.253, 0.577), Hg at (0.000, 0.371, 0.653), Hg at (0.000, 0.390, 0.250) and Hg at (0.000, 0.499, 0.591).


No. 14
An optimized crystal structure of Cd2In2Sn, computed with PBE-GGA.

The value obtained for the total energy is -10.9 eV/f.u. Its total magnetic moment is 0.00 μB/f.u. The calculation puts the density of states at the Fermi level at 4.7 states/eV/cell. For the calculated volume, the calculation gives 262.3 Å³/cell.

The structure belongs to space group P4/mbm (No. 127); the cell edges are 8.995, 8.995 and 3.243 Å and the angles 90.00°, 90.00° and 90.00°. The distinct sites, in fractional coordinates, are Cd at (0.120, 0.380, 0.000), In at (0.179, 0.679, 0.500) and Sn at (0.000, 0.000, 0.500).


No. 15
An optimized crystal structure of Rb2Tl6InAu, computed with PBE-GGA.

The value obtained for the total energy is -22.0 eV/f.u. Its total magnetic moment is 0.00 μB/f.u. The calculation puts the density of states at the Fermi level at 36.1 states/eV/cell. For the calculated volume, the calculation gives 2238.3 Å³/cell.

The structure belongs to space group R-3m (No. 166, hexagonal axes); the cell edges are 7.9331, 7.9331 and 41.0676 Å and the angles 90.00°, 90.00° and 120.00°. The distinct sites, in fractional coordinates, are Rb at (0.0000, 0.0000, 0.1300), Rb at (0.0000, 0.0000, 0.3011), Tl at (0.0425, 0.5213, 0.8716), Tl at (0.0474, 0.5237, 0.7189), In at (0.0000, 0.0000, 0.4197), Au at (0.0000, 0.0000, 0.0000) and Au at (0.0000, 0.0000, 0.5000).


No. 16
An optimized crystal structure of BaNaFe4As4, computed with PBE-GGA.

The value obtained for the total energy is -59.6 eV/f.u. Its total magnetic moment is 1.48 μB/f.u. The calculation puts the density of states at the Fermi level at 18.9 states/eV/cell. For the calculated volume, the calculation gives 382.1 Å³/cell.

The structure belongs to space group Cmmm (No. 65); the cell edges are 5.455, 12.825 and 5.461 Å and the angles 90.00°, 90.00° and 90.00°. The distinct sites, in fractional coordinates, are Ba at (0.000, 0.000, 0.000), Na at (0.000, 0.500, 0.500), Fe at (0.250, 0.250, 0.250), As at (0.000, 0.149, 0.500) and As at (0.000, 0.351, 0.000).


No. 17
An optimized crystal structure of Ce7ZnRh4, computed with PBE-GGA.

The value obtained for the total energy is -77.0 eV/f.u. Its total magnetic moment is 3.30 μB/f.u. The calculation puts the density of states at the Fermi level at 59.6 states/eV/cell. For the calculated volume, the calculation gives 568.3 Å³/cell.

The structure belongs to space group C2/m (No. 12); the cell edges are 13.145, 5.568 and 9.486 Å and the angles 90.00°, 125.06° and 90.00°. The distinct sites, in fractional coordinates, are Ce at (0.000, 0.000, 0.000), Ce at (0.076, 0.500, 0.376), Ce at (0.182, 0.000, 0.634), Ce at (0.189, 0.500, 0.895), Zn at (0.000, 0.500, 0.000), Rh at (0.057, 0.000, 0.765) and Rh at (0.202, 0.000, 0.334).


No. 18
An optimized crystal structure of Sm8Sc2Tl, computed with PBE-GGA.

The value obtained for the total energy is -53.1 eV/f.u. Its total magnetic moment is 0.00 μB/f.u. The calculation puts the density of states at the Fermi level at 30.7 states/eV/cell. For the calculated volume, the calculation gives 677.3 Å³/cell.

The structure belongs to space group C2/m (No. 12); the cell edges are 17.893, 4.963 and 7.937 Å and the angles 90.00°, 106.07° and 90.00°. The distinct sites, in fractional coordinates, are Sm at (0.047, 0.000, 0.225), Sm at (0.094, 0.500, 0.947), Sm at (0.139, 0.000, 0.687), Sm at (0.181, 0.500, 0.411), Sc at (0.225, 0.000, 0.131) and Tl at (0.000, 0.500, 0.500).


No. 19
An optimized crystal structure of La2TiCdO, computed with PBE-GGA.

The value obtained for the total energy is -29.6 eV/f.u. Its total magnetic moment is 1.51 μB/f.u. The calculation puts the uncorrected formation energy at -1.192 eV per atom. The calculation puts the density of states at the Fermi level at 4.5 states/eV/cell. For the calculated volume, the calculation gives 115.8 Å³/cell.

The structure belongs to space group P4/mmm (No. 123); the cell edges are 5.369, 5.369 and 4.018 Å and the angles 90.00°, 90.00° and 90.00°. The distinct sites, in fractional coordinates, are La at (0.000, 0.500, 0.000), Ti at (0.000, 0.000, 0.500), Cd at (0.500, 0.500, 0.500) and O at (0.000, 0.000, 0.000).


No. 20
An optimized crystal structure of Hf3AgBr, computed with PBE-GGA.

The value obtained for the total energy is -30.7 eV/f.u. Its total magnetic moment is 0.00 μB/f.u. The calculation puts the uncorrected formation energy at 0.736 eV per atom. The calculation puts the density of states at the Fermi level at 4.5 states/eV/cell. For the calculated volume, the calculation gives 117.7 Å³/cell.

The structure belongs to space group Pm-3m (No. 221); the cell edges are 4.900, 4.900 and 4.900 Å and the angles 90.00°, 90.00° and 90.00°. The distinct sites, in fractional coordinates, are Hf at (0.000, 0.000, 0.500), Ag at (0.500, 0.500, 0.500) and Br at (0.000, 0.000, 0.000).